[1]
A plane-wave DFT calculation with GGA-PBE was carried out for an optimized crystal structure of PmY12Ni6.

Lattice parameters (Å, degrees): 9.900 9.900 9.900 90.00 90.00 90.00
Space group Im-3 (No. 204)
One atom of each set of equivalent atoms:
Pm 0.000 0.000 0.000 [2 per cell]
Y 0.000 0.184 0.311 [24 per cell]
Ni 0.000 0.377 0.500 [12 per cell]

Results
As for the formation energy from the elements: -4.4 eV/f.u. The calculation puts the volume at 485 Å³/f.u.

---

[2]
A plane-wave DFT calculation with GGA-PBE was carried out for an optimized crystal structure of CaAu.

Lattice parameters (Å, degrees): 4.0787 4.0787 7.7166 90.00 90.00 120.00
Space group P6_3/mmc (No. 194)
One atom of each set of equivalent atoms:
Ca 0.0000 0.0000 0.0000 [2 per cell]
Au 0.3333 0.6667 0.2500 [2 per cell]

Results
As for the formation energy from the elements: -1.3 eV/f.u. The calculation puts the volume at 56 Å³/f.u.

---

[3]
A plane-wave DFT calculation with GGA-PBE was carried out for an optimized crystal structure of Tc2HgI2.

Lattice parameters (Å, degrees): 4.201 4.201 16.853 90.00 90.00 90.00
Space group I4/mmm (No. 139)
One atom of each set of equivalent atoms:
Tc 0.000 0.500 0.250 [4 per cell]
Hg 0.000 0.000 0.000 [2 per cell]
I 0.000 0.000 0.343 [4 per cell]

Results
For the energy relative to the elements, uncorrected, the calculation gives 0.527 eV/atom. The calculation puts the volume at 149 Å³/f.u. The energy above the lowest structure with this stoichiometry comes out at 0 meV/atom.

---

[4]
A plane-wave DFT calculation with GGA-PBE was carried out for an optimized crystal structure of NaSi2IF.

Lattice parameters (Å, degrees): 5.214 5.214 5.401 90.00 90.00 90.00
Space group P4/mmm (No. 123)
One atom of each set of equivalent atoms:
Na 0.000 0.000 0.000 [1 per cell]
Si 0.000 0.500 0.000 [2 per cell]
I 0.000 0.000 0.500 [1 per cell]
F 0.500 0.500 0.500 [1 per cell]

Results
For the energy relative to the elements, uncorrected, the calculation gives 0.852 eV/atom. The calculation puts the volume at 147 Å³/f.u.

---

[5]
A plane-wave DFT calculation with GGA-PBE was carried out for an optimized crystal structure of InHg2Te2.

Lattice parameters (Å, degrees): 8.514 8.514 3.990 90.00 90.00 90.00
Space group P4/mbm (No. 127)
One atom of each set of equivalent atoms:
In 0.000 0.000 0.000 [2 per cell]
Hg 0.131 0.369 0.000 [4 per cell]
Te 0.175 0.675 0.500 [4 per cell]

Results
For the energy relative to the elements, uncorrected, the calculation gives 0.043 eV/atom. The calculation puts the volume at 145 Å³/f.u. The energy above the lowest structure with this stoichiometry comes out at 73 meV/atom.

---

[6]
A plane-wave DFT calculation with GGA-PBE was carried out for an optimized crystal structure of WAuSeN2.

Lattice parameters (Å, degrees): 3.881 3.881 5.505 90.00 90.00 90.00
Space group P4/mmm (No. 123)
One atom of each set of equivalent atoms:
W 0.000 0.000 0.000 [1 per cell]
Au 0.500 0.500 0.500 [1 per cell]
Se 0.000 0.000 0.500 [1 per cell]
N 0.000 0.500 0.000 [2 per cell]

Results
For the energy relative to the elements, uncorrected, the calculation gives 0.445 eV/atom. The calculation puts the volume at 83 Å³/f.u. The energy above the lowest structure with this stoichiometry comes out at 0 meV/atom.

---

[7]
A plane-wave DFT calculation with GGA-PBE was carried out for an optimized crystal structure of Ho3Cd4In.

Lattice parameters (Å, degrees): 3.377 6.217 20.066 90.00 90.00 90.00
Space group Immm (No. 71)
One atom of each set of equivalent atoms:
Ho 0.000 0.000 0.000 [2 per cell]
Ho 0.000 0.500 0.238 [4 per cell]
Cd 0.000 0.259 0.376 [8 per cell]
In 0.000 0.000 0.500 [2 per cell]

Results
As for the formation energy from the elements: -1.3 eV/f.u. The calculation puts the volume at 211 Å³/f.u.

---

[8]
A plane-wave DFT calculation with GGA-PBE was carried out for an optimized crystal structure of ZnSiBC2.

Lattice parameters (Å, degrees): 3.556 3.556 5.506 90.00 90.00 90.00
Space group P4/mmm (No. 123)
One atom of each set of equivalent atoms:
Zn 0.000 0.000 0.000 [1 per cell]
Si 0.000 0.000 0.500 [1 per cell]
B 0.500 0.500 0.000 [1 per cell]
C 0.000 0.500 0.500 [2 per cell]

Results
For the energy relative to the elements, uncorrected, the calculation gives 2.079 eV/atom. The calculation puts the volume at 70 Å³/f.u.

---

[9]
A plane-wave DFT calculation with GGA-PBE was carried out for an optimized crystal structure of CdFeTc.

Lattice parameters (Å, degrees): 5.847 5.847 5.847 90.00 90.00 90.00
Space group F-43m (No. 216)
One atom of each set of equivalent atoms:
Cd 0.000 0.000 0.000 [4 per cell]
Fe 0.250 0.250 0.250 [4 per cell]
Tc 0.000 0.000 0.500 [4 per cell]

Results
As for the formation energy from the elements: 2.1 eV/f.u. The calculation puts the volume at 50 Å³/f.u. The energy above the lowest structure with this stoichiometry comes out at 433 meV/atom.

---

[10]
A plane-wave DFT calculation with GGA-PBE was carried out for an optimized crystal structure of SmErHgRh.

Lattice parameters (Å, degrees): 7.189 7.189 7.189 90.00 90.00 90.00
Space group F-43m (No. 216)
One atom of each set of equivalent atoms:
Sm 0.000 0.000 0.000 [4 per cell]
Er 0.000 0.000 0.500 [4 per cell]
Hg 0.250 0.250 0.750 [4 per cell]
Rh 0.250 0.250 0.250 [4 per cell]

Results
As for the formation energy from the elements: -2.4 eV/f.u. The calculation puts the volume at 93 Å³/f.u.